[1]
5
Lattice="-3.6456 1.0697 2.3621 -0.8944 -4.4847 0.6506 2.5234 0.0579 3.8684" Properties=species:S:1:pos:R:3 comment="TlBiOF2 | Alexandria via LeMat-Bulk | PBEsol | optimized geometry" e_form_raw_ev_per_atom=-1.597 spacegroup=P4/mmm final_energy_ev_per_atom=-4.801 pbc="T T T"
Tl -1.0083 -1.6785 3.4405
Bi 0.0000 0.0000 0.0000
O -1.8228 0.5349 1.1810
F 1.2617 0.0290 1.9342
F -0.4472 -2.2424 0.3253



[2]
5
Lattice="4.4562 0.0000 0.0000 0.0000 4.4562 0.0000 0.0000 0.0000 4.6325" Properties=species:S:1:pos:R:3 comment="BiWOF2 | Alexandria via LeMat-Bulk | PBEsol | optimized geometry" e_form_raw_ev_per_atom=0.046 polymorph_energy_kj_per_mol_fu=0.0 spacegroup=P4/mmm final_energy_ev_per_atom=-5.393 pbc="T T T"
O 0.0000 0.0000 2.3162
Bi 0.0000 0.0000 0.0000
W 2.2281 2.2281 2.3162
F 0.0000 2.2281 0.0000
F 2.2281 0.0000 0.0000



[3]
5
Lattice="4.4713 0.0000 0.0000 0.0000 4.1095 0.0000 0.0000 0.0000 4.1095" Properties=species:S:1:pos:R:3 comment="BiWOF2 | Alexandria via LeMat-Bulk | PBEsol | optimized geometry" e_form_raw_ev_per_atom=0.604 polymorph_energy_kj_per_mol_fu=269.1 spacegroup=P4/mmm final_energy_ev_per_atom=-4.835 pbc="T T T"
O 0.0000 0.0000 0.0000
Bi 2.2357 0.0000 0.0000
W 2.2357 2.0548 2.0548
F 0.0000 0.0000 2.0548
F 0.0000 2.0548 0.0000



[4]
5
Lattice="-2.2985 3.0794 2.3777 -3.0795 0.2477 -3.2977 -2.3908 -3.3161 1.9836" Properties=species:S:1:pos:R:3 comment="ZrBiOF2 | Alexandria via LeMat-Bulk | PBEsol | optimized geometry" e_form_raw_ev_per_atom=-0.810 spacegroup=P4/mmm final_energy_ev_per_atom=-5.306 pbc="T T T"
O -1.1954 -1.6581 0.9918
Bi 0.0000 0.0000 0.0000
Zr -3.8844 0.0055 0.5318
F -1.5397 0.1238 -1.6488
F -1.1492 1.5397 1.1888



[5]
5
Lattice="-0.1585 -1.5234 3.8631 -2.2168 -3.2379 -1.3679 4.0041 -2.4093 -0.7858" Properties=species:S:1:pos:R:3 comment="BiOs2PdF | Alexandria via LeMat-Bulk | PBEsol | optimized geometry" e_form_raw_ev_per_atom=1.223 spacegroup=P4/mmm final_energy_ev_per_atom=-6.098 pbc="T T T"
Os -1.1084 -1.6190 -0.6839
Os -0.0793 -0.7617 1.9315
Bi 2.0020 -1.2047 -0.3929
Pd 0.8144 -3.5853 0.8547
F 0.0000 0.0000 0.0000



[6]
5
Lattice="5.1252 0.0000 0.0000 0.0000 5.1252 0.0000 0.0000 0.0000 5.4095" Properties=species:S:1:pos:R:3 comment="BiPS2F | Alexandria via LeMat-Bulk | PBEsol | optimized geometry" e_form_raw_ev_per_atom=0.954 spacegroup=P4/mmm final_energy_ev_per_atom=-3.201 pbc="T T T"
P 0.0000 0.0000 2.7047
S 0.0000 2.5626 0.0000
S 2.5626 0.0000 0.0000
Bi 0.0000 0.0000 0.0000
F 2.5626 2.5626 2.7047



[7]
5
Lattice="4.6522 0.0000 0.0000 0.0000 4.6522 0.0000 0.0000 0.0000 4.6522" Properties=species:S:1:pos:R:3 comment="BiPbF3 | Alexandria via LeMat-Bulk | PBEsol | optimized geometry" e_form_raw_ev_per_atom=-1.478 spacegroup=Pm-3m final_energy_ev_per_atom=-4.291 pbc="T T T"
Pb 2.3261 2.3261 2.3261
Bi 0.0000 0.0000 0.0000
F 0.0000 2.3261 0.0000
F 0.0000 0.0000 2.3261
F 2.3261 0.0000 0.0000



[8]
4
Lattice="4.3378 0.0000 0.0000 2.1689 3.7567 0.0000 2.1689 1.2522 3.5418" Properties=species:S:1:pos:R:3 comment="BiPdF2 | Alexandria via LeMat-Bulk | PBEsol | optimized geometry" e_form_raw_ev_per_atom=-0.921 polymorph_energy_kj_per_mol_fu=0.0 spacegroup=Fm-3m final_energy_ev_per_atom=-4.446 pbc="T T T"
Bi 4.3378 2.5044 1.7709
Pd 0.0000 0.0000 0.0000
F 2.1689 1.2522 0.8855
F 6.5067 3.7567 2.6564



[9]
4
Lattice="-0.5824 -3.3318 0.3078 2.4196 -2.2314 -0.8375 3.1216 -1.6690 6.5791" Properties=species:S:1:pos:R:3 comment="BiPdF2 | Alexandria via LeMat-Bulk | PBEsol | optimized geometry" e_form_raw_ev_per_atom=-0.761 polymorph_energy_kj_per_mol_fu=61.7 spacegroup=R-3m final_energy_ev_per_atom=-4.286 pbc="T T T"
Bi 0.0000 0.0000 0.0000
Pd 2.4794 -3.6161 3.0247
F 2.6528 -5.5029 1.6662
F 2.3060 -1.7293 4.3832



[10]
5
Lattice="4.3059 0.0000 0.0000 0.0000 4.3059 0.0000 0.0000 0.0000 4.3059" Properties=species:S:1:pos:R:3 comment="BiPtF3 | Alexandria via LeMat-Bulk | PBEsol | optimized geometry" e_form_raw_ev_per_atom=-0.605 spacegroup=Pm-3m final_energy_ev_per_atom=-4.011 pbc="T T T"
Bi 2.1529 2.1529 2.1529
Pt 0.0000 0.0000 0.0000
F 0.0000 2.1529 0.0000
F 0.0000 0.0000 2.1529
F 2.1529 0.0000 0.0000



[11]
4
Lattice="3.0681 0.0000 0.0000 1.5340 2.6570 0.0000 1.5340 0.8857 8.4753" Properties=species:S:1:pos:R:3 comment="BiPtF2 | Alexandria via LeMat-Bulk | PBEsol | optimized geometry" e_form_raw_ev_per_atom=-0.379 spacegroup=R-3m final_energy_ev_per_atom=-4.155 pbc="T T T"
Bi 0.0000 0.0000 0.0000
Pt 3.0681 1.7714 4.2377
F 4.6021 2.6570 2.2118
F 1.5340 0.8857 6.2636



[12]
5
Lattice="5.1644 0.0000 0.0000 0.0000 5.1644 0.0000 0.0000 0.0000 5.1075" Properties=species:S:1:pos:R:3 comment="BiPtS2F | Alexandria via LeMat-Bulk | PBEsol | optimized geometry" e_form_raw_ev_per_atom=0.992 spacegroup=P4/mmm final_energy_ev_per_atom=-3.397 pbc="T T T"
S 0.0000 2.5822 0.0000
S 2.5822 0.0000 0.0000
Bi 0.0000 0.0000 0.0000
Pt 0.0000 0.0000 2.5538
F 2.5822 2.5822 2.5538



[13]
10
Lattice="-5.8313 -3.4103 -1.1983 0.0397 -5.5536 -4.0282 -0.9573 -6.2224 2.7267" Properties=species:S:1:pos:R:3 comment="Rb3BiF6 | Alexandria via LeMat-Bulk | PBEsol | optimized geometry" e_form_raw_ev_per_atom=-2.602 spacegroup=Fm-3m final_energy_ev_per_atom=-4.494 pbc="T T T"
Bi -3.3744 -7.5932 -1.2499
Rb -1.6872 -3.7966 -0.6249
Rb -5.0617 -11.3898 -1.8748
Rb 0.0000 0.0000 0.0000
F -2.2374 -9.5291 -1.2737
F -1.7943 -6.6492 -2.5357
F -4.9546 -8.5371 0.0360
F -4.5115 -5.6573 -1.2260
F -2.2557 -6.9588 0.5906
F -4.4931 -8.2276 -3.0903



[14]
24
Lattice="-5.8784 0.8994 -5.9157 -0.1412 -5.1820 -6.5945 -6.1188 -5.6908 -0.7319" Properties=species:S:1:pos:R:3 comment="RbBiF4 | Alexandria via LeMat-Bulk | PBEsol | optimized geometry" e_form_raw_ev_per_atom=-2.546 spacegroup=Fd-3m final_energy_ev_per_atom=-4.717 pbc="T T T"
Rb -1.5879 -3.8377 -4.9525
Rb -4.4565 -0.7970 -4.6131
Rb -4.5767 -4.0921 -2.0212
Rb -1.5173 -1.2467 -1.6553
Bi -7.5865 -6.2334 -8.2763
Bi -4.5271 -3.3880 -7.9104
Bi -4.6473 -6.6831 -5.3185
Bi -7.5159 -3.6424 -4.9791
F -9.1250 -7.7815 -7.4107
F -11.6413 -7.3965 -9.9430
F -6.0904 -5.2881 -4.1002
F -6.1508 -7.5063 -6.9230
F -6.5663 -7.5637 -9.9202
F -6.0480 -4.6853 -9.1419
F -9.0221 -4.9605 -9.6297
F -3.0346 -2.4934 -3.3105
F -8.6067 -4.9031 -6.6324
F -5.9875 -2.4672 -6.3191
F 0.0000 0.0000 0.0000
F -9.0825 -7.1787 -12.4524
F -9.1038 -7.4801 -9.9316
F -3.5317 -5.0703 -6.6097
F -9.1854 -9.9996 -10.2335
F -6.0692 -4.9867 -6.6211



[15]
28
Lattice="8.4656 0.0000 0.0000 4.2328 7.3314 0.0000 4.2328 2.4438 6.9121" Properties=species:S:1:pos:R:3 comment="RbBi3F10 | Alexandria via LeMat-Bulk | PBEsol | optimized geometry" e_form_raw_ev_per_atom=-2.560 spacegroup=Fm-3m final_energy_ev_per_atom=-4.928 pbc="T T T"
Rb 4.2328 2.4438 1.7280
Rb 12.6984 7.3314 5.1841
Bi 8.4656 2.3487 1.6608
Bi 8.4656 7.4265 5.2513
Bi 10.6644 3.6181 5.2513
Bi 6.2668 6.1571 1.6608
Bi 10.6644 6.1571 1.6608
Bi 6.2668 3.6181 5.2513
F 5.6691 4.8876 3.4561
F 11.2621 4.8876 3.4561
F 8.4656 3.2731 5.7394
F 8.4656 6.5022 1.1727
F 7.0673 5.6949 5.7394
F 9.8638 7.3094 3.4561
F 9.8638 4.0803 1.1727
F 7.0673 2.4658 3.4561
F 7.0673 7.3094 3.4561
F 9.8638 2.4658 3.4561
F 9.8638 5.6949 5.7394
F 7.0673 4.0803 1.1727
F 6.5472 1.1076 0.7832
F 10.3840 8.6676 6.1289
F 4.2328 5.1162 0.7832
F 4.2328 2.4438 4.5626
F 12.6984 4.6590 6.1289
F 12.6984 7.3314 2.3495
F 1.9184 1.1076 0.7832
F 15.0128 8.6676 6.1289



[16]
5
Lattice="-0.9037 4.9867 1.4025 -5.1670 -0.7664 -0.6044 -0.3687 -1.4820 5.0317" Properties=species:S:1:pos:R:3 comment="ReBi3F | Alexandria via LeMat-Bulk | PBEsol | optimized geometry" e_form_raw_ev_per_atom=0.418 spacegroup=Pm-3m final_energy_ev_per_atom=-5.205 pbc="T T T"
Re 0.0000 0.0000 0.0000
Bi -2.5835 -0.3832 -0.3022
Bi -0.1844 -0.7410 2.5159
Bi -0.4519 2.4933 0.7012
F -3.2197 1.3691 2.9149



[17]
5
Lattice="5.2107 0.0000 0.0000 0.0000 5.2107 0.0000 0.0000 0.0000 5.2107" Properties=species:S:1:pos:R:3 comment="Bi3RuF | Alexandria via LeMat-Bulk | PBEsol | optimized geometry" e_form_raw_ev_per_atom=0.225 spacegroup=Pm-3m final_energy_ev_per_atom=-4.766 pbc="T T T"
Ru 0.0000 0.0000 0.0000
Bi 0.0000 2.6054 0.0000
Bi 0.0000 0.0000 2.6054
Bi 2.6054 0.0000 0.0000
F 2.6054 2.6054 2.6054



[18]
5
Lattice="4.7409 0.0000 0.0000 0.0000 4.7409 0.0000 0.0000 0.0000 5.8848" Properties=species:S:1:pos:R:3 comment="YBiRu2F | Alexandria via LeMat-Bulk | PBEsol | optimized geometry" e_form_raw_ev_per_atom=1.519 spacegroup=P4/mmm final_energy_ev_per_atom=-5.157 pbc="T T T"
Y 0.0000 0.0000 0.0000
Ru 0.0000 2.3704 0.0000
Ru 2.3704 0.0000 0.0000
Bi 0.0000 0.0000 2.9424
F 2.3704 2.3704 2.9424



[19]
4
Lattice="-1.8799 -0.0463 -4.4837 1.2845 -3.4840 -3.1388 -3.1994 -3.4377 -1.2593" Properties=species:S:1:pos:R:3 comment="Bi2SF | Alexandria via LeMat-Bulk | PBEsol | optimized geometry" e_form_raw_ev_per_atom=-0.533 spacegroup=Fm-3m final_energy_ev_per_atom=-4.254 pbc="T T T"
S -1.8974 -3.4840 -4.4409
Bi -0.9487 -1.7420 -2.2204
Bi -2.8461 -5.2260 -6.6613
F 0.0000 0.0000 0.0000



[20]
5
Lattice="4.9730 0.0000 0.0000 0.0000 4.9730 0.0000 0.0000 0.0000 4.9730" Properties=species:S:1:pos:R:3 comment="Bi3SF | Alexandria via LeMat-Bulk | PBEsol | optimized geometry" e_form_raw_ev_per_atom=0.008 spacegroup=Pm-3m final_energy_ev_per_atom=-3.826 pbc="T T T"
S 2.4865 2.4865 2.4865
Bi 0.0000 2.4865 0.0000
Bi 0.0000 0.0000 2.4865
Bi 2.4865 0.0000 0.0000
F 0.0000 0.0000 0.0000